1.
{
  "formula": "La3TlRu",
  "functional": "PBE",
  "state": "relaxed",
  "cell": [[3.368, -8.379, 0.000], [3.368, 8.379, 0.000], [0.000, 0.000, 6.237]],
  "species": ["La", "La", "La", "La", "La", "La", "Tl", "Tl", "Ru", "Ru"],
  "frac_coords": [[0.000, 0.000, 0.000], [0.000, 0.000, 0.500], [0.100, 0.414, 0.750], [0.414, 0.100, 0.250], [0.586, 0.900, 0.750], [0.900, 0.586, 0.250], [0.175, 0.825, 0.750], [0.825, 0.175, 0.250], [0.455, 0.545, 0.750], [0.545, 0.455, 0.250]],
  "vol_a3_per_cell": 352,
  "delta_e_f_mev_per_atom": 268.7,
  "space_group": "No. 63",
  "magmom_total_mub_per_cell": 0.0,
  "dos_at_fermi_per_ev_atom": 0.760
}

2.
{
  "formula": "KAg2P2S7",
  "functional": "PBE",
  "state": "relaxed",
  "cell": [[3.236, 1.868, 10.422], [-3.236, 1.868, 10.422], [0.000, -3.737, 10.422]],
  "species": ["K", "Ag", "Ag", "P", "P", "S", "S", "S", "S", "S", "S", "S"],
  "frac_coords": [[0.000, 0.000, 0.000], [0.246, 0.246, 0.246], [0.754, 0.754, 0.754], [0.428, 0.428, 0.428], [0.572, 0.572, 0.572], [0.134, 0.371, 0.738], [0.262, 0.629, 0.866], [0.371, 0.738, 0.134], [0.500, 0.500, 0.500], [0.629, 0.866, 0.262], [0.738, 0.134, 0.371], [0.866, 0.262, 0.629]],
  "vol_a3_per_cell": 378,
  "formation_energy_uncorrected_ev_per_atom": -0.1899,
  "space_group": "No. 155",
  "magmom_total_mub_per_cell": 1.1,
  "dos_at_fermi_per_ev_atom": 0.721
}

3.
{
  "formula": "Sr2LaAlH",
  "functional": "PBE",
  "state": "relaxed",
  "cell": [[6.549, 0.000, 0.000], [0.000, 6.549, 0.000], [0.000, 0.000, 4.130]],
  "species": ["Sr", "Sr", "La", "Al", "H"],
  "frac_coords": [[0.000, 0.500, 0.000], [0.500, 0.000, 0.000], [0.000, 0.000, 0.000], [0.500, 0.500, 0.500], [0.000, 0.000, 0.500]],
  "vol_a3_per_cell": 177,
  "energy_ev_per_atom": -2.551,
  "space_group": "No. 123",
  "magmom_total_mub_per_cell": 1.0,
  "dos_at_fermi_per_ev_atom": 1.093
}